BaBeAl2 | PBEsol | optimized geometry

## Properties
The final energy is -3.38 eV per atom. As for the density of states at the Fermi level: 0.388 states/eV/atom. Its energy relative to the elements is 0.200 eV/atom.

a b c (Å): 3.2358 3.2358 7.9076
angles (deg): 90.00 90.00 90.00
Space group P4/mmm (No. 123)
Asymmetric unit:
Ba (0.0000, 0.0000, 0.0000)
Be (0.0000, 0.0000, 0.5000)
Al (0.5000, 0.5000, 0.3313)